Entry from the Alexandria database: a relaxed structure of Tl9Hg3Sb2 (PBE).

Values from the calculation:
Formation energy without anion corrections in eV per atom: 0.03
SG: Immm, No. 71

POSCAR file:
```
Tl9Hg3Sb2
1.0
-2.237 6.984 7.253
2.237 -6.984 7.253
2.237 6.984 -7.253
Tl Hg Sb
9 3 2
Cartesian
0.000 0.000 0.000
2.237 -4.362 4.968
2.237 5.312 -1.833
0.000 2.623 2.285
0.000 1.672 5.420
2.237 5.312 1.833
2.237 4.362 4.968
0.000 1.672 9.086
0.000 11.346 2.285
2.237 0.000 2.896
0.000 6.984 0.000
0.000 6.984 4.357
2.237 2.652 0.000
0.000 4.332 7.253
```

---

Entry from the Alexandria database: a relaxed structure of TlHg2Sb (PBE).

Values from the calculation:
Formation energy without anion corrections in eV per atom: 0.07
SG: Cmm2, No. 35

POSCAR file:
```
TlHg2Sb
1.0
2.289 -2.306 0.000
2.289 2.306 0.000
0.000 0.000 11.267
Tl Hg Sb
1 2 1
Cartesian
0.000 0.000 0.000
0.000 0.000 5.732
2.289 0.000 2.973
2.289 0.000 8.643
```

---

Entry from the Alexandria database: a relaxed structure of TlHg2Sb (PBE).

Values from the calculation:
Formation energy without anion corrections in eV per atom: 0.11
SG: R-3m, No. 166

POSCAR file:
```
TlHg2Sb
1.0
1.733 1.000 10.634
-1.733 1.000 10.634
0.000 -2.001 10.634
Tl Hg Sb
1 2 1
Cartesian
0.000 0.000 0.000
0.000 0.000 7.923
0.000 0.000 23.980
0.000 0.000 15.951
```

---

Entry from the Alexandria database: a relaxed structure of TlHg3Sb (PBE).

Values from the calculation:
Energy above the lowest structure with this stoichiometry in meV per atom: 198.2
Formation energy without anion corrections in eV per atom: 0.22
SG: Pm-3m, No. 221

POSCAR file:
```
TlHg3Sb
1.0
5.720 0.000 0.000
0.000 5.720 0.000
0.000 0.000 5.720
Tl Hg Sb
1 3 1
Cartesian
0.000 0.000 0.000
0.000 2.860 2.860
2.860 0.000 2.860
2.860 2.860 0.000
2.860 2.860 2.860
```

---

Entry from the Alexandria database: a relaxed structure of Tl2Hg3Sb (PBE).

Values from the calculation:
Energy above the lowest structure with this stoichiometry in meV per atom: 18.8
Formation energy without anion corrections in eV per atom: 0.02
SG: Fmmm, No. 69

POSCAR file:
```
Tl2Hg3Sb
1.0
0.000 5.173 9.040
3.768 0.000 9.040
3.768 5.173 0.000
Tl Hg Sb
4 6 2
Cartesian
5.704 5.173 9.040
1.884 2.587 4.520
5.652 7.760 13.560
1.831 5.173 9.040
3.768 5.173 2.990
3.768 2.612 7.544
3.768 2.612 10.535
3.768 7.735 7.544
3.768 7.735 10.535
3.768 5.173 15.090
3.768 5.173 6.027
3.768 5.173 12.052
```

---

Entry from the Alexandria database: a relaxed structure of TlHg2Sb (PBE).

Values from the calculation:
Formation energy without anion corrections in eV per atom: 0.09
SG: Cm, No. 8

POSCAR file:
```
TlHg2Sb
1.0
5.516 -1.701 0.000
5.516 1.701 0.000
-0.987 0.000 5.900
Tl Hg Sb
1 2 1
Cartesian
0.000 0.000 0.000
1.979 0.000 4.484
5.028 0.000 2.966
7.992 0.000 1.656
```